Rb2MoI5Br (PBE, relaxed); density of states at the Fermi level = 6.959 states/eV/cell; E_tot = -3.272 eV per atom; raw formation energy = -0.806 eV per atom
1.0
-4.124 4.124 5.533
4.124 -4.124 5.533
4.124 4.124 -5.533
Rb Mo I Br
2 1 5 1
Direct
0.000 0.500 0.500
0.500 0.000 0.500
0.248 0.248 0.000
0.010 0.010 0.521
0.010 0.488 0.000
0.488 0.010 0.000
0.488 0.488 0.479
0.497 0.497 0.000
0.017 0.017 0.000